Here is a geometry-optimized NiTe2N2 structure from Alexandria via LeMat-Bulk. Energies are from PBE.

Unit cell a=4.025 b=4.025 c=5.642 alpha=90.00 beta=90.00 gamma=90.00
Space group P4/mmm (No. 123)
One atom of each set of equivalent atoms:
Ni1 0.000 0.000 0.000
Te1 0.000 0.000 0.500
Te2 0.500 0.500 0.500
N1 0.000 0.500 0.000

Summary:
magnetization	3.8	Bohr magnetons per cell
ΔE_f (raw)	1.37	eV per atom
distance to the lowest polymorph of the same formula	0	meV per atom
total DFT energy (no corrections)	-4.37	eV/atom